# ScSe2BrF

A relaxed structure of ScSe2BrF (GGA-PBEsol, Alexandria via LeMat-Bulk).

Cell: 4.345 4.345 5.323 Å, 90.00 90.00 90.00°
Atoms (fractional coordinates):
Sc1 0.000 0.000 0.000
Se1 0.000 0.500 0.500
Se2 0.500 0.000 0.500
Br1 0.500 0.500 0.000
F1 0.500 0.500 0.500

Its volume is 20.10 A^3/atom. The uncorrected formation energy comes out at -2.27 eV/f.u.

# TaCu2Ir

A relaxed structure of TaCu2Ir (GGA-PBEsol, Alexandria via LeMat-Bulk).

Cell: 3.229 3.229 5.253 Å, 90.00 90.00 90.00°
Atoms (fractional coordinates):
Ta1 0.000 0.000 0.000
Cu1 0.500 0.500 0.256
Cu2 0.500 0.500 0.744
Ir1 0.000 0.000 0.500

Its volume is 13.69 A^3/atom. The relative energy among the computed polymorphs comes out at 173 meV/atom. The calculation puts the formation energy at 0.108 eV/atom.

# ReMoSeN2

A relaxed structure of ReMoSeN2 (GGA-PBEsol, Alexandria via LeMat-Bulk).

Cell: 3.835 3.835 5.255 Å, 90.00 90.00 90.00°
Atoms (fractional coordinates):
Re1 0.000 0.000 0.000
Mo1 0.500 0.500 0.500
Se1 0.500 0.500 0.000
N1 0.000 0.500 0.500
N2 0.500 0.000 0.500

Its volume is 15.46 A^3/atom. The uncorrected formation energy comes out at 5.81 eV/f.u.

# K2LiDyCl6

A relaxed structure of K2LiDyCl6 (GGA-PBEsol, Alexandria via LeMat-Bulk).

Cell: 7.194 7.194 7.194 Å, 60.00 60.00 60.00°
Atoms (fractional coordinates):
K1 0.250 0.250 0.250
K2 0.750 0.750 0.750
Li1 0.000 0.000 0.000
Dy1 0.500 0.500 0.500
Cl1 0.246 0.246 0.754
Cl2 0.246 0.754 0.246
Cl3 0.246 0.754 0.754
Cl4 0.754 0.246 0.246
Cl5 0.754 0.246 0.754
Cl6 0.754 0.754 0.246

Its volume is 26.32 A^3/atom. The uncorrected formation energy comes out at -20.66 eV/f.u.